This record from the Alexandria database describes crystalline Li3MgPb at its relaxed geometry. The functional is GGA-PBE.

Its energy above the most stable polymorph in this dataset is 335 meV/atom. Its energy of formation from the pure elements is 0.15 eV/atom. As for the space group: Pm-3m. The calculation puts the total energy at -2.055 eV/atom. For the density of states at the Fermi level, the calculation gives 0.2651 states/eV/atom.

Geometry as CIF:
```
data_Li3MgPb
_chemical_formula_sum 'Li3 Mg1 Pb1'
_space_group_name_H-M_alt 'P 1'
_space_group_IT_number 1
_space_group_name_Hall 'P 1'
_cell_length_a 5.165
_cell_length_b 5.165
_cell_length_c 5.165
_cell_angle_alpha 90.00
_cell_angle_beta 90.00
_cell_angle_gamma 90.00
loop_
_atom_site_label
_atom_site_fract_x
_atom_site_fract_y
_atom_site_fract_z
Pb1 0.000 0.000 0.000
Mg1 0.500 0.500 0.500
Li1 0.000 0.500 0.000
Li2 0.000 0.000 0.500
Li3 0.500 0.000 0.000
```

***

This record from the Alexandria database describes crystalline Li2MgPb2 at its relaxed geometry. The functional is GGA-PBE.

Its energy above the most stable polymorph in this dataset is 121 meV/atom. Its energy of formation from the pure elements is -0.06 eV/atom. As for the space group: I4/mmm. The calculation puts the total energy at -2.632 eV/atom. For the density of states at the Fermi level, the calculation gives 0.3611 states/eV/atom.

Geometry as CIF:
```
data_Li2MgPb2
_chemical_formula_sum 'Li2 Mg1 Pb2'
_space_group_name_H-M_alt 'P 1'
_space_group_IT_number 1
_space_group_name_Hall 'P 1'
_cell_length_a 4.213
_cell_length_b 4.213
_cell_length_c 7.377
_cell_angle_alpha 73.41
_cell_angle_beta 73.41
_cell_angle_gamma 90.00
loop_
_atom_site_label
_atom_site_fract_x
_atom_site_fract_y
_atom_site_fract_z
Pb1 0.392 0.392 0.217
Pb2 0.608 0.608 0.783
Mg1 0.000 0.000 0.000
Li1 0.750 0.250 0.500
Li2 0.250 0.750 0.500
```

***

This record from the Alexandria database describes crystalline LiMg3Pb4 at its relaxed geometry. The functional is GGA-PBE.

Its energy above the most stable polymorph in this dataset is 38 meV/atom. Its energy of formation from the pure elements is -0.07 eV/atom. As for the space group: Pmm2. The calculation puts the total energy at -2.763 eV/atom. For the density of states at the Fermi level, the calculation gives 0.3401 states/eV/atom.

Geometry as CIF:
```
data_LiMg3Pb4
_chemical_formula_sum 'Li1 Mg3 Pb4'
_space_group_name_H-M_alt 'P 1'
_space_group_IT_number 1
_space_group_name_Hall 'P 1'
_cell_length_a 3.541
_cell_length_b 5.029
_cell_length_c 11.650
_cell_angle_alpha 90.00
_cell_angle_beta 90.00
_cell_angle_gamma 90.00
loop_
_atom_site_label
_atom_site_fract_x
_atom_site_fract_y
_atom_site_fract_z
Li1 0.500 0.500 0.081
Mg1 0.000 0.500 0.584
Mg2 0.000 0.000 0.418
Mg3 0.500 0.000 0.921
Pb1 0.500 0.500 0.338
Pb2 0.000 0.500 0.858
Pb3 0.000 0.000 0.149
Pb4 0.500 0.000 0.651
```